No. 1
First-principles (PBE-GGA) data for KScSe3 after structural relaxation, as listed in Alexandria.

Results
Crystal system: cubic
DFT total energy, eV/atom: -4.590
Fermi-level density of states, states/eV/cell: 7.41
Formation energy (no corrections), eV per atom: -1.014
Space group: Pm-3m

Cell: 5.259 5.259 5.259 Å, 90.00 90.00 90.00°
Fractional coordinates of all 5 atoms:
K  0.000  0.000  0.000
Sc  0.500  0.500  0.500
Se  0.000  0.500  0.500
Se  0.500  0.000  0.500
Se  0.500  0.500  0.000


No. 2
First-principles (PBE-GGA) data for K3LiTh3S8 after structural relaxation, as listed in Alexandria.

Results
Crystal system: trigonal
DFT total energy, eV/atom: -5.740
Fermi-level density of states, states/eV/cell: 0.00
Formation energy (no corrections), eV per atom: -1.708
Space group: R-3m

Cell: 8.822 8.822 8.822 Å, 56.22 56.22 56.22°
Fractional coordinates of all 15 atoms:
K  0.000  0.500  0.500
K  0.500  0.000  0.500
K  0.500  0.500  0.000
Li  0.500  0.500  0.500
Th  0.000  0.000  0.500
Th  0.000  0.500  0.000
Th  0.500  0.000  0.000
S  0.222  0.736  0.736
S  0.237  0.237  0.237
S  0.264  0.264  0.778
S  0.264  0.778  0.264
S  0.736  0.222  0.736
S  0.736  0.736  0.222
S  0.763  0.763  0.763
S  0.778  0.264  0.264


No. 3
First-principles (PBE-GGA) data for La4YBe after structural relaxation, as listed in Alexandria.

Results
Crystal system: cubic
DFT total energy, eV/atom: -4.377
ΔH_f (0 K), meV per atom: 606.7
Fermi-level density of states, states/eV/cell: 9.06
Space group: F-43m

Cell: 6.559 6.559 6.559 Å, 60.00 60.00 60.00°
Fractional coordinates of all 6 atoms:
La  0.376  0.376  0.376
La  0.376  0.376  0.871
La  0.376  0.871  0.376
La  0.871  0.376  0.376
Y  0.000  0.000  0.000
Be  0.750  0.750  0.750


No. 4
First-principles (PBE-GGA) data for Ce4SbIr2 after structural relaxation, as listed in Alexandria.

Results
Crystal system: orthorhombic
DFT total energy, eV/atom: -7.212
Fermi-level density of states, states/eV/cell: 34.01
Formation energy (no corrections), eV per atom: -0.700
Space group: Fdd2

Cell: 7.775 7.758 9.196 Å, 53.78 53.61 72.60°
Fractional coordinates of all 14 atoms:
Ce  0.073  0.427  0.176
Ce  0.074  0.926  0.177
Ce  0.166  0.521  0.730
Ce  0.427  0.073  0.324
Ce  0.520  0.666  0.084
Ce  0.521  0.166  0.584
Ce  0.666  0.520  0.729
Ce  0.926  0.074  0.823
Sb  0.672  0.672  0.328
Sb  0.922  0.922  0.578
Ir  0.168  0.426  0.453
Ir  0.296  0.797  0.824
Ir  0.426  0.168  0.954
Ir  0.797  0.296  0.082


No. 5
First-principles (PBE-GGA) data for KMnRe2 after structural relaxation, as listed in Alexandria.

Results
Crystal system: orthorhombic
DFT total energy, eV/atom: -7.467
ΔH_f (0 K), meV per atom: 1323.6
Fermi-level density of states, states/eV/cell: 3.53
Space group: Imm2

Cell: 6.125 6.125 6.125 Å, 154.94 126.17 60.27°
Fractional coordinates of all 4 atoms:
K  0.000  0.000  0.000
Mn  0.288  0.788  0.500
Re  0.493  0.493  0.000
Re  0.703  0.203  0.500


No. 6
First-principles (PBE-GGA) data for Pm8GeSb2 after structural relaxation, as listed in Alexandria.

Results
Crystal system: monoclinic
DFT total energy, eV/atom: -5.148
Fermi-level density of states, states/eV/cell: 14.82
Formation energy (no corrections), eV per atom: -0.524
Space group: C2/m

Cell: 9.705 9.705 7.752 Å, 94.33 94.33 28.26°
Fractional coordinates of all 11 atoms:
Pm  0.001  0.001  0.266
Pm  0.217  0.217  0.860
Pm  0.342  0.342  0.460
Pm  0.402  0.402  0.979
Pm  0.598  0.598  0.021
Pm  0.658  0.658  0.540
Pm  0.783  0.783  0.140
Pm  0.999  0.999  0.734
Ge  0.500  0.500  0.500
Sb  0.177  0.177  0.273
Sb  0.823  0.823  0.727


> Which formula does entry 2 have?

K3LiTh3S8


> What is the DFT total energy in the sixth record?

-5.148 eV/atom


> DFT total energy of number 2 (K3LiTh3S8)?

-5.740 eV/atom